[1]
Here is a relaxed V5ZnCr4 crystal from the Alexandria database. Energies are from GGA-PBE.

Results
- Mass density: 6.91 g cm⁻³
- Volume: 12.70 A^3/atom
- Space group: P4/mmm
- Calculated total energy: -8.582 eV/atom

Cell: 2.943 2.943 14.660 Å, 90.00 90.00 90.00°
Sites, in units of the cell vectors:
V (0.500, 0.500, 0.303)
V (0.500, 0.500, 0.697)
V (0.500, 0.500, 0.500)
V (0.500, 0.500, 0.889)
V (0.500, 0.500, 0.111)
Zn (0.000, 0.000, 0.000)
Cr (0.000, 0.000, 0.402)
Cr (0.000, 0.000, 0.798)
Cr (0.000, 0.000, 0.202)
Cr (0.000, 0.000, 0.598)

[2]
Here is a relaxed V2ZnCr crystal from the Alexandria database. Energies are from GGA-PBE.

Results
- Mass density: 6.65 g cm⁻³
- Volume: 13.68 A^3/atom
- Space group: R-3m
- Calculated total energy: -7.092 eV/atom

Cell: 2.804 2.804 8.197 Å, 80.15 80.15 60.00°
Sites, in units of the cell vectors:
V (0.259, 0.259, 0.223)
V (0.741, 0.741, 0.777)
Zn (0.500, 0.500, 0.500)
Cr (0.000, 0.000, 0.000)

[3]
Here is a relaxed V2ZnCr crystal from the Alexandria database. Energies are from GGA-PBE.

Results
- Mass density: 6.51 g cm⁻³
- Volume: 13.98 A^3/atom
- Space group: I-42d
- Calculated total energy: -6.748 eV/atom

Cell: 6.633 6.633 5.334 Å, 51.56 51.56 90.00°
Sites, in units of the cell vectors:
V (0.599, 0.125, 0.250)
V (0.151, 0.625, 0.250)
V (0.375, 0.401, 0.750)
V (0.875, 0.849, 0.750)
Cr (0.500, 0.500, 0.000)
Cr (0.250, 0.750, 0.500)
Zn (0.000, 0.000, 0.000)
Zn (0.750, 0.250, 0.500)

[4]
Here is a relaxed V3ZnCr crystal from the Alexandria database. Energies are from GGA-PBE.

Results
- Mass density: 4.97 g cm⁻³
- Volume: 18.05 A^3/atom
- Space group: Pm-3m
- Calculated total energy: -6.177 eV/atom

Cell: 4.486 4.486 4.486 Å, 90.00 90.00 90.00°
Sites, in units of the cell vectors:
V (0.000, 0.000, 0.500)
V (0.500, 0.000, 0.000)
V (0.000, 0.500, 0.000)
Zn (0.000, 0.000, 0.000)
Cr (0.500, 0.500, 0.500)

[5]
Here is a relaxed V2ZnCr crystal from the Alexandria database. Energies are from GGA-PBE.

Results
- Mass density: 6.93 g cm⁻³
- Volume: 13.14 A^3/atom
- Space group: P4/mmm
- Calculated total energy: -7.294 eV/atom

Cell: 2.974 2.974 5.944 Å, 90.00 90.00 90.00°
Sites, in units of the cell vectors:
Cr (0.500, 0.500, 0.000)
Zn (0.500, 0.500, 0.500)
V (0.000, 0.000, 0.228)
V (0.000, 0.000, 0.772)

[6]
Here is a relaxed VZnCr4 crystal from the Alexandria database. Energies are from GGA-PBE.

Results
- Mass density: 7.11 g cm⁻³
- Volume: 12.63 A^3/atom
- Space group: F-43m
- Calculated total energy: -7.983 eV/atom

Cell: 4.750 4.750 4.750 Å, 60.00 60.00 60.00°
Sites, in units of the cell vectors:
Cr (0.122, 0.626, 0.626)
Cr (0.626, 0.626, 0.122)
Cr (0.626, 0.122, 0.626)
Cr (0.626, 0.626, 0.626)
Zn (0.000, 0.000, 0.000)
V (0.250, 0.250, 0.250)

[7]
Here is a relaxed V3ZnCr crystal from the Alexandria database. Energies are from GGA-PBE.

Results
- Mass density: 5.61 g cm⁻³
- Volume: 15.99 A^3/atom
- Space group: Pm-3m
- Calculated total energy: -6.788 eV/atom

Cell: 4.308 4.308 4.308 Å, 90.00 90.00 90.00°
Sites, in units of the cell vectors:
V (0.500, 0.000, 0.000)
V (0.000, 0.000, 0.500)
V (0.000, 0.500, 0.000)
Zn (0.500, 0.500, 0.500)
Cr (0.000, 0.000, 0.000)

[8]
Here is a relaxed VZn4Cr crystal from the Alexandria database. Energies are from GGA-PBE.

Results
- Mass density: 7.04 g cm⁻³
- Volume: 14.32 A^3/atom
- Space group: F-43m
- Calculated total energy: -3.923 eV/atom

Cell: 4.954 4.954 4.954 Å, 60.00 60.00 60.00°
Sites, in units of the cell vectors:
Zn (0.125, 0.625, 0.625)
Zn (0.625, 0.125, 0.625)
Zn (0.625, 0.625, 0.125)
Zn (0.625, 0.625, 0.625)
Cr (0.250, 0.250, 0.250)
V (0.000, 0.000, 0.000)

[9]
Here is a relaxed ZrVZn2Cr crystal from the Alexandria database. Energies are from GGA-PBE.

Results
- Mass density: 4.82 g cm⁻³
- Volume: 22.39 A^3/atom
- Space group: P4/mmm
- Calculated total energy: -4.286 eV/atom

Cell: 5.001 4.476 5.001 Å, 90.00 90.00 90.00°
Sites, in units of the cell vectors:
Zn (0.000, 0.000, 0.500)
Zn (0.500, 0.000, 0.000)
V (0.500, 0.500, 0.500)
Zr (0.000, 0.000, 0.000)
Cr (0.000, 0.500, 0.000)

[10]
Here is a relaxed ZrV2Cr crystal from the Alexandria database. Energies are from GGA-PBE.

Results
- Mass density: 6.65 g cm⁻³
- Volume: 15.30 A^3/atom
- Space group: P4/mmm
- Calculated total energy: -9.005 eV/atom

Cell: 2.984 2.984 6.872 Å, 90.00 90.00 90.00°
Sites, in units of the cell vectors:
Cr (0.500, 0.500, 0.000)
V (0.000, 0.000, 0.801)
V (0.000, 0.000, 0.199)
Zr (0.500, 0.500, 0.500)

[11]
Here is a relaxed ZrV2Cr2 crystal from the Alexandria database. Energies are from GGA-PBE.

Results
- Mass density: 6.42 g cm⁻³
- Volume: 15.38 A^3/atom
- Space group: I4/mmm
- Calculated total energy: -8.879 eV/atom

Cell: 3.864 3.864 5.830 Å, 70.65 70.65 90.00°
Sites, in units of the cell vectors:
Cr (0.610, 0.610, 0.780)
Cr (0.390, 0.390, 0.220)
V (0.750, 0.250, 0.500)
V (0.250, 0.750, 0.500)
Zr (0.000, 0.000, 0.000)

[12]
Here is a relaxed ZrV2Cr2 crystal from the Alexandria database. Energies are from GGA-PBE.

Results
- Mass density: 6.46 g cm⁻³
- Volume: 15.28 A^3/atom
- Space group: P4/mbm
- Calculated total energy: -8.914 eV/atom

Cell: 7.227 7.227 2.927 Å, 90.00 90.00 90.00°
Sites, in units of the cell vectors:
Cr (0.865, 0.635, 0.000)
Cr (0.365, 0.865, 0.000)
Cr (0.635, 0.135, 0.000)
Cr (0.135, 0.365, 0.000)
Zr (0.500, 0.500, 0.000)
Zr (0.000, 0.000, 0.000)
V (0.359, 0.141, 0.500)
V (0.641, 0.859, 0.500)
V (0.859, 0.359, 0.500)
V (0.141, 0.641, 0.500)

| no. | calculated formation energy (meV/atom) |
| --- | --- |
| 1 | -46 |
| 2 | 192 |
| 3 | 535 |
| 4 | 1474 |
| 5 | -10 |
| 6 | 165 |
| 7 | 862 |
| 8 | 50 |
| 9 | 1682 |
| 10 | 97 |
| 11 | 327 |
| 12 | 292 |